# 1
LaSiAu PBE optimized geometry; calculated total energy = -5.223 eV per atom
1.0
7.0792 0.0015 -0.0067
1.4026 4.2232 -0.0031
1.8905 -2.9710 4.8616
Si La Au
2 2 2
Direct
0.4190 0.8970 0.0229
0.0921 0.0260 0.9565
0.5408 0.5067 0.3649
0.9703 0.4163 0.6145
0.9313 0.7307 0.2042
0.5799 0.1923 0.7751



# 2
ScTcOF2 PBE optimized geometry; calculated total energy = -6.870 eV per atom
1.0
4.1809 0.0000 0.0000
0.0000 4.1809 0.0000
0.0000 0.0000 4.0598
F Sc Tc O
2 1 1 1
Direct
0.5000 0.0000 0.0000
0.0000 0.5000 0.0000
0.0000 0.0000 0.0000
0.5000 0.5000 0.5000
0.0000 0.0000 0.5000



# 3
SnBiS2 PBE optimized geometry; calculated total energy = -4.103 eV per atom
1.0
-0.2861 -2.6642 -4.8305
-2.5015 -4.2485 2.4913
-8.5196 -0.0990 -2.5992
Sn Bi S
2 2 4
Direct
0.2500 0.7500 0.5000
0.5000 0.5000 0.0000
0.0000 0.0000 0.0000
0.7500 0.2500 0.5000
0.3750 0.3751 0.7500
0.8750 0.8749 0.7500
0.6249 0.1250 0.2500
0.1251 0.6250 0.2500



# 4
LiTb2Bi PBE optimized geometry; calculated total energy = -4.074 eV per atom; formation energy from the elements = -0.310 eV per atom
1.0
5.3219 0.0000 0.0000
2.6609 4.6089 0.0000
2.6609 1.5363 4.3453
Bi Tb Li
1 2 1
Direct
0.5000 0.5000 0.5000
0.7500 0.7500 0.7500
0.2500 0.2500 0.2500
0.0000 0.0000 0.0000



# 5
Pr6Nd2DyHo3 PBE optimized geometry; calculated total energy = -4.699 eV per atom; formation energy from the elements = 0.013 eV per atom
1.0
-2.5168 -5.8035 -0.3728
6.2814 0.7080 0.4427
-2.0341 1.2772 11.7484
Pr Dy Nd Ho
6 1 2 3
Direct
0.9156 0.5832 0.7468
0.4168 0.0844 0.2532
0.2482 0.2482 0.7466
0.7518 0.7518 0.2534
0.0844 0.4168 0.2532
0.5832 0.9156 0.7468
0.0000 0.0000 0.0000
0.3332 0.6668 0.0000
0.6668 0.3332 0.0000
0.1665 0.8335 0.5000
0.8335 0.1665 0.5000
0.5000 0.5000 0.5000



# 6
NdTm2Au PBE optimized geometry; calculated total energy = -4.547 eV per atom; formation energy from the elements = -0.300 eV per atom
1.0
-1.6009 2.9390 -1.6113
-3.1582 1.3840 1.3810
3.6156 7.4792 5.7686
Nd Au Tm
1 1 2
Direct
0.5000 0.5000 0.5000
0.0000 0.0000 0.0000
0.2661 0.2661 0.2016
0.7339 0.7339 0.7984



# 7
Pa2Ga3Ni PBE optimized geometry; calculated total energy = -6.049 eV per atom; formation energy from the elements = -0.407 eV per atom
1.0
3.4689 0.0000 0.0000
0.0000 4.3913 0.0000
0.0000 0.0000 7.5751
Ga Pa Ni
3 2 1
Direct
0.5000 0.0000 0.8320
0.5000 0.0000 0.1710
0.5000 0.5000 0.6604
0.0000 0.5000 0.0186
0.0000 0.0000 0.4878
0.5000 0.5000 0.3303



# 8
NaAcEuGe PBE optimized geometry; calculated total energy = -5.318 eV per atom; formation energy from the elements = -0.238 eV per atom
1.0
-4.5716 2.4913 -1.9946
-3.6453 -2.9020 -3.0618
-5.0077 -1.2744 2.0937
Ge Eu Ac Na
1 1 1 1
Direct
0.2500 0.2500 0.2500
0.0000 0.0000 0.0000
0.5000 0.5000 0.5000
0.7500 0.7500 0.7500